Here is CeIn2Bi after structural relaxation from Alexandria via LeMat-Bulk. Energies are from PBE-GGA.

a = 5.011 Å, b = 4.690 Å, c = 4.690 Å
α = 90.00°, β = 90.00°, γ = 90.00°
Atoms (fractional coordinates):
Bi (0.500, 0.000, 0.000)
Ce (0.500, 0.500, 0.500)
In (0.000, 0.000, 0.500)
In (0.000, 0.500, 0.000)

Values from the calculation:
Space group: No. 123
Formation enthalpy at 0 K, eV/atom: -0.4445
Total energy, eV/atom: -4.27